[1]
# CeYAu, relaxed, DFT PBE
# - Spin magnetization: 1.64 Bohr magnetons per cell
# - Calculated formation energy: -0.424 eV per atom
# - Symmetry: No. 107
# - Energy relative to the lowest polymorph listed for this composition: 0.0 meV per atom
data_CeYAu
_chemical_formula_sum 'Ce1 Y1 Au1'
_symmetry_space_group_name_H-M 'P 1'
_symmetry_Int_Tables_number 1
_cell_length_a 6.855
_cell_length_b 6.855
_cell_length_c 6.855
_cell_angle_alpha 149.60
_cell_angle_beta 149.60
_cell_angle_gamma 43.53
loop_
_symmetry_equiv_pos_as_xyz
'x,y,z'
loop_
_atom_site_label
_atom_site_type_symbol
_atom_site_fract_x
_atom_site_fract_y
_atom_site_fract_z
Ce1 Ce 0.000 0.000 0.000
Y1 Y 0.290 0.290 0.000
Au1 Au 0.657 0.657 0.000

[2]
# Ce2YAu, relaxed, DFT PBE
# - Spin magnetization: 2.01 Bohr magnetons per cell
# - Calculated formation energy: -0.202 eV per atom
# - Symmetry: No. 123
# - Energy relative to the lowest polymorph listed for this composition: 0.0 meV per atom
data_Ce2YAu
_chemical_formula_sum 'Ce2 Y1 Au1'
_symmetry_space_group_name_H-M 'P 1'
_symmetry_Int_Tables_number 1
_cell_length_a 3.841
_cell_length_b 3.841
_cell_length_c 7.752
_cell_angle_alpha 90.00
_cell_angle_beta 90.00
_cell_angle_gamma 90.00
loop_
_symmetry_equiv_pos_as_xyz
'x,y,z'
loop_
_atom_site_label
_atom_site_type_symbol
_atom_site_fract_x
_atom_site_fract_y
_atom_site_fract_z
Ce1 Ce 0.000 0.000 0.203
Ce2 Ce 0.000 0.000 0.797
Y1 Y 0.500 0.500 0.500
Au1 Au 0.500 0.500 0.000

[3]
# CeY3Au4, relaxed, DFT PBE
# - Spin magnetization: 1.04 Bohr magnetons per cell
# - Calculated formation energy: -0.779 eV per atom
# - Symmetry: No. 166
data_CeY3Au4
_chemical_formula_sum 'Ce1 Y3 Au4'
_symmetry_space_group_name_H-M 'P 1'
_symmetry_Int_Tables_number 1
_cell_length_a 8.972
_cell_length_b 8.972
_cell_length_c 8.972
_cell_angle_alpha 33.18
_cell_angle_beta 33.18
_cell_angle_gamma 33.18
loop_
_symmetry_equiv_pos_as_xyz
'x,y,z'
loop_
_atom_site_label
_atom_site_type_symbol
_atom_site_fract_x
_atom_site_fract_y
_atom_site_fract_z
Ce1 Ce 0.000 0.000 0.000
Y1 Y 0.250 0.250 0.250
Y2 Y 0.500 0.500 0.500
Y3 Y 0.750 0.750 0.750
Au1 Au 0.127 0.127 0.127
Au2 Au 0.379 0.379 0.379
Au3 Au 0.621 0.621 0.621
Au4 Au 0.873 0.873 0.873

[4]
# CeYAu, relaxed, DFT PBE
# - Spin magnetization: 1.31 Bohr magnetons per cell
# - Calculated formation energy: -0.277 eV per atom
# - Symmetry: No. 216
# - Energy relative to the lowest polymorph listed for this composition: 146.5 meV per atom
data_CeYAu
_chemical_formula_sum 'Ce1 Y1 Au1'
_symmetry_space_group_name_H-M 'P 1'
_symmetry_Int_Tables_number 1
_cell_length_a 5.039
_cell_length_b 5.039
_cell_length_c 5.039
_cell_angle_alpha 60.00
_cell_angle_beta 60.00
_cell_angle_gamma 60.00
loop_
_symmetry_equiv_pos_as_xyz
'x,y,z'
loop_
_atom_site_label
_atom_site_type_symbol
_atom_site_fract_x
_atom_site_fract_y
_atom_site_fract_z
Ce1 Ce 0.000 0.000 0.000
Y1 Y 0.500 0.500 0.500
Au1 Au 0.750 0.750 0.750

[5]
# Ce3YAu4, relaxed, DFT PBE
# - Spin magnetization: 3.28 Bohr magnetons per cell
# - Calculated formation energy: -0.658 eV per atom
# - Symmetry: No. 123
data_Ce3YAu4
_chemical_formula_sum 'Ce3 Y1 Au4'
_symmetry_space_group_name_H-M 'P 1'
_symmetry_Int_Tables_number 1
_cell_length_a 3.622
_cell_length_b 3.622
_cell_length_c 15.083
_cell_angle_alpha 90.00
_cell_angle_beta 90.00
_cell_angle_gamma 90.00
loop_
_symmetry_equiv_pos_as_xyz
'x,y,z'
loop_
_atom_site_label
_atom_site_type_symbol
_atom_site_fract_x
_atom_site_fract_y
_atom_site_fract_z
Ce1 Ce 0.000 0.000 0.000
Ce2 Ce 0.000 0.000 0.252
Ce3 Ce 0.000 0.000 0.748
Y1 Y 0.000 0.000 0.500
Au1 Au 0.500 0.500 0.126
Au2 Au 0.500 0.500 0.385
Au3 Au 0.500 0.500 0.615
Au4 Au 0.500 0.500 0.874

[6]
# Ce2YAu3, relaxed, DFT PBE
# - Spin magnetization: 2.23 Bohr magnetons per cell
# - Calculated formation energy: -0.681 eV per atom
# - Symmetry: No. 123
data_Ce2YAu3
_chemical_formula_sum 'Ce2 Y1 Au3'
_symmetry_space_group_name_H-M 'P 1'
_symmetry_Int_Tables_number 1
_cell_length_a 3.614
_cell_length_b 3.614
_cell_length_c 11.307
_cell_angle_alpha 90.00
_cell_angle_beta 90.00
_cell_angle_gamma 90.00
loop_
_symmetry_equiv_pos_as_xyz
'x,y,z'
loop_
_atom_site_label
_atom_site_type_symbol
_atom_site_fract_x
_atom_site_fract_y
_atom_site_fract_z
Ce1 Ce 0.000 0.000 0.169
Ce2 Ce 0.000 0.000 0.831
Y1 Y 0.000 0.000 0.500
Au1 Au 0.500 0.500 0.000
Au2 Au 0.500 0.500 0.346
Au3 Au 0.500 0.500 0.654